No. 1
# Y2TiO5 | Alexandria | PBEsol | optimized geometry
data_Y2TiO5
_chemical_formula_sum 'Y8 Ti4 O20'
_cell_length_a 10.301
_cell_length_b 3.663
_cell_length_c 11.182
_cell_angle_alpha 90.00
_cell_angle_beta 90.00
_cell_angle_gamma 90.00
_symmetry_space_group_name_H-M 'P n m a'
_symmetry_Int_Tables_number 62
loop_
_symmetry_equiv_pos_as_xyz
'x,y,z'
'-x,-y,-z'
'-x+1/2,-y,z+1/2'
'x+1/2,y,-z+1/2'
'x+1/2,-y+1/2,-z+1/2'
'-x+1/2,y+1/2,z+1/2'
'-x,y+1/2,-z'
'x,-y+1/2,z'
loop_
_atom_site_label
_atom_site_fract_x
_atom_site_fract_y
_atom_site_fract_z
Y1 0.116 0.250 0.224
Y2 0.135 0.250 0.557
Ti1 0.173 0.250 0.881
O1 0.005 0.250 0.846
O2 0.006 0.750 0.605
O3 0.225 0.250 0.044
O4 0.236 0.750 0.884
O5 0.244 0.750 0.230
# Total DFT energy (no corrections) (eV per atom): -9.514
# Density of states at the Fermi level (states/eV per cell): 0.0
# ΔE_f (raw) (eV per formula unit): -27.90
# Total moment (μB/atom): 0.00

=====

No. 2
# NaLaGe2Cl | Alexandria | PBEsol | optimized geometry
data_NaLaGe2Cl
_chemical_formula_sum 'Na1 La1 Ge2 Cl1'
_cell_length_a 5.161
_cell_length_b 5.161
_cell_length_c 4.699
_cell_angle_alpha 90.00
_cell_angle_beta 90.00
_cell_angle_gamma 90.00
_symmetry_space_group_name_H-M 'P 4/m m m'
_symmetry_Int_Tables_number 123
_symmetry_space_group_name_Hall '-P 4 2'
loop_
_atom_site_label
_atom_site_fract_x
_atom_site_fract_y
_atom_site_fract_z
Na1 0.000 0.000 0.000
La1 0.500 0.500 0.000
Ge1 0.000 0.500 0.500
Cl1 0.000 0.000 0.500
# Total DFT energy (no corrections) (eV per atom): -3.879
# Density of states at the Fermi level (states/eV per cell): 2.4
# ΔE_f (raw) (eV per formula unit): -0.76
# Total moment (μB/atom): 0.00

=====

What is the formula in the first record?
Y2TiO5

=====

Which of these has the lowest density of states at the Fermi level?
Y2TiO5

=====

Which formula does entry 1 have?
Y2TiO5

=====

Among the records above, which one has the highest total DFT energy (no corrections)?
NaLaGe2Cl